Be2CuNi: relaxed, PBEsol.

Lattice parameters (Å, degrees): 8.141 2.492 3.814 90.00 109.41 90.00
Space group Cm (No. 8)
Unique sites:
Be 0.000 0.000 0.000 (multiplicity 2)
Be 0.236 0.500 0.342 (multiplicity 2)
Cu 0.253 0.000 0.849 (multiplicity 2)
Ni 0.479 0.000 0.486 (multiplicity 2)

The calculation puts the size of the total moment at 0.00 Bohr magnetons per cell. For the final energy, the calculation gives -4.86 eV per atom.